Entry i
DFT (PBE) results for CsTiZn3 after structural relaxation.

Output
Total moment = 3.94 μB per cell
DOS at the Fermi energy = 4.61 states/eV/cell

Cell: 5.3864 5.3864 5.3864 Å, 90.00 90.00 90.00°
Fractional positions:
Cs1 0.0000 0.0000 0.0000
Ti1 0.5000 0.5000 0.5000
Zn1 0.0000 0.5000 0.5000
Zn2 0.5000 0.0000 0.5000
Zn3 0.5000 0.5000 0.0000

---

Entry ii
DFT (PBE) results for CsTiZn3 after structural relaxation.

Output
Total moment = 2.92 μB per cell
DOS at the Fermi energy = 8.27 states/eV/cell

Cell: 6.3766 6.3766 6.3766 Å, 90.00 90.00 90.00°
Fractional positions:
Cs1 0.0000 0.0000 0.0000
Ti1 0.5000 0.5000 0.5000
Zn1 0.0000 0.0000 0.5000
Zn2 0.0000 0.5000 0.0000
Zn3 0.5000 0.0000 0.0000

---

It is entry i that is most stable; the runner-up trails by 95.7 kJ/mol of atoms.

---

Entry i
DFT (PBE) results for CsZrTi2 after structural relaxation.

Output
Total moment = 0.00 μB per cell
DOS at the Fermi energy = 14.31 states/eV/cell

Cell: 10.7335 10.7335 10.7335 Å, 152.45 152.45 39.36°
Fractional positions:
Cs1 0.3750 0.6250 0.7500
Cs2 0.6250 0.3750 0.2500
Zr1 0.1250 0.8750 0.2500
Zr2 0.8750 0.1250 0.7500
Ti1 0.0000 0.0000 0.0000
Ti2 0.0000 0.0000 0.5000
Ti3 0.0000 0.5000 0.0000
Ti4 0.5000 0.0000 0.5000

---

Entry ii
DFT (PBE) results for CsZrTi2 after structural relaxation.

Output
Total moment = 0.00 μB per cell
DOS at the Fermi energy = 8.05 states/eV/cell

Cell: 5.0819 5.0819 5.0819 Å, 60.00 60.00 60.00°
Fractional positions:
Cs1 0.0000 0.0000 0.0000
Zr1 0.5000 0.5000 0.5000
Ti1 0.2500 0.2500 0.2500
Ti2 0.7500 0.7500 0.7500

---

It is entry ii that is most stable; the runner-up trails by 31.0 kJ/mol of atoms.